Entry 1:
CaTa2Cu: PBEsol geometry, meta-GGA SCAN.

Computed properties:
**Magnetization**: 0.00 μB/atom
**Density of states at the Fermi level**: 2.81 states/eV/f.u.
**Excess energy over the best structure of this formula in the dataset**: 0 meV per atom
**Formation energy**: 0.335 eV per atom

CIF file:
```
data_CaTa2Cu
_chemical_formula_sum 'Ca2 Ta4 Cu2'
_space_group_name_H-M_alt 'I m m m'
_space_group_IT_number 71
_space_group_name_Hall '-I 2 2'
_cell_length_a 2.932
_cell_length_b 4.764
_cell_length_c 10.653
_cell_angle_alpha 90.00
_cell_angle_beta 90.00
_cell_angle_gamma 90.00
loop_
_atom_site_label
_atom_site_type_symbol
_atom_site_fract_x
_atom_site_fract_y
_atom_site_fract_z
_atom_site_occupancy
Ca1 Ca 0.000 0.000 0.000 1
Ta1 Ta 0.000 0.500 0.216 1
Cu1 Cu 0.000 0.000 0.500 1
```

Entry 2:
CaTa2Cu: PBEsol geometry, meta-GGA SCAN.

Computed properties:
**Magnetization**: 0.00 μB/atom
**Density of states at the Fermi level**: 4.75 states/eV/f.u.
**Excess energy over the best structure of this formula in the dataset**: 206 meV per atom
**Formation energy**: 0.541 eV per atom

CIF file:
```
data_CaTa2Cu
_chemical_formula_sum 'Ca2 Ta4 Cu2'
_space_group_name_H-M_alt 'C m m m'
_space_group_IT_number 65
_space_group_name_Hall '-C 2 2'
_cell_length_a 3.925
_cell_length_b 4.082
_cell_length_c 9.181
_cell_angle_alpha 90.00
_cell_angle_beta 90.00
_cell_angle_gamma 90.00
loop_
_atom_site_label
_atom_site_type_symbol
_atom_site_fract_x
_atom_site_fract_y
_atom_site_fract_z
_atom_site_occupancy
Ca1 Ca 0.000 0.000 0.000 1
Ta1 Ta 0.000 0.500 0.301 1
Cu1 Cu 0.000 0.000 0.500 1
```

Entry 3:
Ca4TaCu: PBEsol geometry, meta-GGA SCAN.

Computed properties:
**Magnetization**: 0.97 μB/atom
**Density of states at the Fermi level**: 4.98 states/eV/f.u.
**Formation energy**: 1.190 eV per atom

CIF file:
```
data_Ca4TaCu
_chemical_formula_sum 'Ca16 Ta4 Cu4'
_space_group_name_H-M_alt 'F -4 3 m'
_space_group_IT_number 216
_space_group_name_Hall 'F -4 2 3'
_cell_length_a 8.796
_cell_length_b 8.796
_cell_length_c 8.796
_cell_angle_alpha 90.00
_cell_angle_beta 90.00
_cell_angle_gamma 90.00
loop_
_atom_site_label
_atom_site_type_symbol
_atom_site_fract_x
_atom_site_fract_y
_atom_site_fract_z
_atom_site_occupancy
Ca1 Ca 0.125 0.125 0.125 1
Ta1 Ta 0.000 0.000 0.500 1
Cu1 Cu 0.250 0.250 0.750 1
```

Entry 4:
CaTa2Cu: PBEsol geometry, meta-GGA SCAN.

Computed properties:
**Magnetization**: 0.00 μB/atom
**Density of states at the Fermi level**: 4.58 states/eV/f.u.
**Excess energy over the best structure of this formula in the dataset**: 367 meV per atom
**Formation energy**: 0.702 eV per atom

CIF file:
```
data_CaTa2Cu
_chemical_formula_sum 'Ca3 Ta6 Cu3'
_space_group_name_H-M_alt 'R -3 m'
_space_group_IT_number 166
_space_group_name_Hall '-R 3 2"'
_cell_length_a 2.9089
_cell_length_b 2.9089
_cell_length_c 29.9988
_cell_angle_alpha 90.00
_cell_angle_beta 90.00
_cell_angle_gamma 120.00
loop_
_atom_site_label
_atom_site_type_symbol
_atom_site_fract_x
_atom_site_fract_y
_atom_site_fract_z
_atom_site_occupancy
Ca1 Ca 0.0000 0.0000 0.0000 1
Ta1 Ta 0.0000 0.0000 0.2393 1
Cu1 Cu 0.0000 0.0000 0.5000 1
```

Entry 5:
CaTa3Cu: PBEsol geometry, meta-GGA SCAN.

Computed properties:
**Magnetization**: 0.00 μB/atom
**Density of states at the Fermi level**: 8.08 states/eV/f.u.
**Formation energy**: 1.261 eV per atom

CIF file:
```
data_CaTa3Cu
_chemical_formula_sum 'Ca1 Ta3 Cu1'
_space_group_name_H-M_alt 'P m -3 m'
_space_group_IT_number 221
_space_group_name_Hall '-P 4 2 3'
_cell_length_a 4.736
_cell_length_b 4.736
_cell_length_c 4.736
_cell_angle_alpha 90.00
_cell_angle_beta 90.00
_cell_angle_gamma 90.00
loop_
_atom_site_label
_atom_site_type_symbol
_atom_site_fract_x
_atom_site_fract_y
_atom_site_fract_z
_atom_site_occupancy
Ca1 Ca 0.000 0.000 0.000 1
Ta1 Ta 0.000 0.500 0.500 1
Cu1 Cu 0.500 0.500 0.500 1
```

Entry 6:
CaCuTc: PBEsol geometry, meta-GGA SCAN.

Computed properties:
**Magnetization**: 0.00 μB/atom
**Density of states at the Fermi level**: 1.83 states/eV/f.u.
**Excess energy over the best structure of this formula in the dataset**: 0 meV per atom
**Formation energy**: 0.537 eV per atom

CIF file:
```
data_CaCuTc
_chemical_formula_sum 'Ca2 Cu2 Tc2'
_space_group_name_H-M_alt 'I 4 m m'
_space_group_IT_number 107
_space_group_name_Hall 'I 4 -2'
_cell_length_a 2.712
_cell_length_b 2.712
_cell_length_c 13.202
_cell_angle_alpha 90.00
_cell_angle_beta 90.00
_cell_angle_gamma 90.00
loop_
_atom_site_label
_atom_site_type_symbol
_atom_site_fract_x
_atom_site_fract_y
_atom_site_fract_z
_atom_site_occupancy
Ca1 Ca 0.000 0.000 0.000 1
Cu1 Cu 0.000 0.000 0.679 1
Tc1 Tc 0.000 0.000 0.315 1
```

Which formula does entry 2 have? CaTa2Cu

Which value of density of states at the Fermi level does entry 5 give? 8.08 states/eV/f.u.